Record 1
HfNp | PBE-GGA | optimized geometry

Properties
The distance to the lowest polymorph of the same formula comes out at 51.53 kcal/mol of atoms. The space group is F-43m (216). For the formation energy, the calculation gives 242.5 kJ/mol of atoms.

Cell: 4.2225 4.2225 4.2225 Å, 60.00 60.00 60.00°
With the nearest neighbours (Å) after each atom.
Sites, in units of the cell vectors:
Hf (0.0000, 0.0000, 0.0000)  4 Np 2.59
Np (0.7500, 0.7500, 0.7500)  4 Hf 2.59

***

Record 2
HfNp | PBE-GGA | optimized geometry

Properties
The distance to the lowest polymorph of the same formula comes out at 25.51 kcal/mol of atoms. The space group is Fm-3m (225). For the formation energy, the calculation gives 133.6 kJ/mol of atoms.

Cell: 4.1791 4.1791 4.1791 Å, 60.00 60.00 60.00°
With the nearest neighbours (Å) after each atom.
Sites, in units of the cell vectors:
Hf (0.0000, 0.0000, 0.0000)  6 Np 2.96
Np (0.5000, 0.5000, 0.5000)  6 Hf 2.96

***

Record 3
HfNp2 | PBE-GGA | optimized geometry

Properties
The space group is Fd-3m (227). For the formation energy, the calculation gives 305.9 kJ/mol of atoms.

Cell: 8.2823 8.2823 8.2823 Å, 60.00 60.00 60.00°
With the nearest neighbours (Å) after each atom.
Sites, in units of the cell vectors:
Hf (0.1250, 0.1250, 0.1250)  4 Np 2.54
Hf (0.8750, 0.8750, 0.8750)  4 Np 2.54
Np (0.0000, 0.0000, 0.0000)  2 Hf 2.54
Np (0.0000, 0.0000, 0.5000)  2 Hf 2.54
Np (0.0000, 0.5000, 0.0000)  2 Hf 2.54
Np (0.5000, 0.0000, 0.0000)  2 Hf 2.54

***

Record 4
HfNp | PBE-GGA | optimized geometry

Properties
The distance to the lowest polymorph of the same formula comes out at 11.69 kcal/mol of atoms. The space group is P6_3/mmc (194). For the formation energy, the calculation gives 75.8 kJ/mol of atoms.

Cell: 4.8148 4.8148 4.5999 Å, 90.00 90.00 120.00°
With the nearest neighbours (Å) after each atom.
Sites, in units of the cell vectors:
Hf (0.3333, 0.6667, 0.2500)  6 Np 3.01
Hf (0.6667, 0.3333, 0.7500)  6 Np 3.01
Np (0.0000, 0.0000, 0.0000)  2 Np 2.30
Np (0.0000, 0.0000, 0.5000)  2 Np 2.30

***

Record 5
HfNpOs | PBE-GGA | optimized geometry

Properties
The distance to the lowest polymorph of the same formula comes out at 0.00 kcal/mol of atoms. The space group is F-43m (216). For the formation energy, the calculation gives 10.7 kJ/mol of atoms.

Cell: 4.6108 4.6108 4.6108 Å, 60.00 60.00 60.00°
With the nearest neighbours (Å) after each atom.
Sites, in units of the cell vectors:
Hf (0.0000, 0.0000, 0.0000)  4 Os 2.82
Np (0.5000, 0.5000, 0.5000)  4 Os 2.82
Os (0.2500, 0.2500, 0.2500)  4 Hf 2.82, 4 Np 2.82

***

Record 6
HfNpPb | PBE-GGA | optimized geometry

Properties
The distance to the lowest polymorph of the same formula comes out at 0.00 kcal/mol of atoms. The space group is F-43m (216).

Cell: 5.0207 5.0207 5.0207 Å, 60.00 60.00 60.00°
With the nearest neighbours (Å) after each atom.
Sites, in units of the cell vectors:
Hf (0.0000, 0.0000, 0.0000)  4 Pb 3.07
Np (0.5000, 0.5000, 0.5000)  4 Pb 3.07
Pb (0.2500, 0.2500, 0.2500)  4 Hf 3.07, 4 Np 3.07

***

E_tot (eV/atom)
-8.849, -9.977, -8.661, -10.577, -11.206, -8.085
V (A^3/atom)
26.6, 25.8, 67.0, 23.1, 23.1, 29.8